LiSiRu: optimized geometry, PBE.

Summary:
Electronic total energy ... -5.5678 eV/atom

a = 3.9793 Å, b = 3.9793 Å, c = 3.9793 Å
α = 60.00°, β = 60.00°, γ = 60.00°
Closest atoms and distances in Å follow each position.
Positions (direct):
1 Ru 0.7500 0.7500 0.7500  4 Si 2.44, 4 Li 2.44
2 Li 0.5000 0.5000 0.5000  4 Ru 2.44
3 Si 0.0000 0.0000 0.0000  4 Ru 2.44